This record from the Alexandria database describes crystalline BaTbMgZn at its relaxed geometry. The functional is PBE.

Output
DOS(E_F) = 0.725 states/eV per atom
crystal system = cubic
calculated volume = 30.574 A^3/atom
DFT formation energy = 0.01 eV/atom
SG = F-43m (216)
DFT total energy = -9.4 eV per cell

a = 5.5716 Å, b = 5.5716 Å, c = 5.5716 Å
α = 60.00°, β = 60.00°, γ = 60.00°
With the nearest neighbours (Å) after each atom.
Fractional positions:
1 Ba 0.0000 0.0000 0.0000  4 Mg 3.41, 4 Zn 3.41
2 Tb 0.5000 0.5000 0.5000  4 Zn 3.41, 4 Mg 3.41
3 Mg 0.2500 0.2500 0.2500  4 Tb 3.41, 4 Ba 3.41
4 Zn 0.7500 0.7500 0.7500  4 Ba 3.41, 4 Tb 3.41


This record from the Alexandria database describes crystalline AlCdOs2 at its relaxed geometry. The functional is PBE.

Output
ΔE to the lowest computed polymorph = 541 meV per atom
DOS(E_F) = 0.374 states/eV per atom
crystal system = tetragonal
calculated volume = 18.879 A^3/atom
DFT formation energy = 0.64 eV/atom
SG = I-42d (122)
DFT total energy = -49.1 eV per cell

a = 9.6405 Å, b = 9.6405 Å, c = 9.6405 Å
α = 155.75°, β = 155.75°, γ = 34.57°
With the nearest neighbours (Å) after each atom.
Fractional positions:
1 Al 0.0000 0.0000 0.0000  4 Os 2.59, 4 Cd 2.86
2 Al 0.7500 0.2500 0.5000  4 Os 2.59, 4 Cd 2.86
3 Cd 0.2500 0.7500 0.5000  4 Al 2.86, 4 Os 2.88
4 Cd 0.5000 0.5000 0.0000  4 Al 2.86, 4 Os 2.88
5 Os 0.0276 0.6250 0.9026  2 Os 2.37, 2 Al 2.59
6 Os 0.3750 0.2776 0.4026  2 Os 2.37, 2 Al 2.59
7 Os 0.7224 0.1250 0.0974  2 Os 2.37, 2 Al 2.59
8 Os 0.8750 0.9724 0.5974  2 Os 2.37, 2 Al 2.59


This record from the Alexandria database describes crystalline PrDy7Ho4 at its relaxed geometry. The functional is PBE.

Output
ΔE to the lowest computed polymorph = 275 meV per atom
DOS(E_F) = 1.670 states/eV per atom
crystal system = monoclinic
calculated volume = 32.786 A^3/atom
DFT formation energy = 0.27 eV/atom
SG = C2/m (12)
DFT total energy = -52.0 eV per cell

a = 6.7006 Å, b = 6.7006 Å, c = 12.5912 Å
α = 114.92°, β = 114.92°, γ = 51.99°
With the nearest neighbours (Å) after each atom.
Fractional positions:
1 Pr 0.0000 0.0000 0.0000  4 Dy 2.94-3.12
2 Dy 0.0588 0.0588 0.3307  4 Dy 3.29-3.51, 3 Ho 3.58-3.64
3 Dy 0.2107 0.2107 0.9218  1 Pr 3.12, 4 Dy 3.15-3.41, 4 Ho 3.25-3.38
4 Dy 0.3663 0.3663 0.4964  4 Dy 3.18-3.51, 3 Ho 3.25-3.47
5 Dy 0.5000 0.5000 0.0000  2 Pr 2.94, 2 Dy 3.15
6 Dy 0.6337 0.6337 0.5036  4 Dy 3.18-3.51, 3 Ho 3.25-3.47
7 Dy 0.7893 0.7893 0.0782  1 Pr 3.12, 4 Dy 3.15-3.41, 4 Ho 3.25-3.38
8 Dy 0.9412 0.9412 0.6693  4 Dy 3.29-3.51, 3 Ho 3.58-3.64
9 Ho 0.2505 0.2505 0.6836  4 Dy 3.25-3.57
10 Ho 0.3679 0.3679 0.2253  7 Dy 3.36-3.58, 2 Ho 3.67
11 Ho 0.6321 0.6321 0.7747  7 Dy 3.36-3.58, 2 Ho 3.67
12 Ho 0.7495 0.7495 0.3164  4 Dy 3.25-3.57


This record from the Alexandria database describes crystalline LiPtRh at its relaxed geometry. The functional is PBE.

Output
ΔE to the lowest computed polymorph = 100 meV per atom
DOS(E_F) = 1.124 states/eV per atom
crystal system = orthorhombic
calculated volume = 14.496 A^3/atom
DFT formation energy = -0.11 eV/atom
SG = Fmm2 (42)
DFT total energy = -15.6 eV per cell

a = 7.2438 Å, b = 7.0042 Å, c = 2.6820 Å
α = 84.23°, β = 74.16°, γ = 21.62°
With the nearest neighbours (Å) after each atom.
Fractional positions:
1 Li 0.0000 0.0000 0.0000  2 Pt 2.59, 2 Rh 2.59, 6 Li 2.68-2.75
2 Pt 0.6596 0.6596 0.3404  2 Li 2.59, 6 Pt 2.68-2.75, 2 Rh 2.83
3 Rh 0.3399 0.3399 0.6601  2 Li 2.59, 6 Rh 2.68-2.75, 2 Pt 2.83


This record from the Alexandria database describes crystalline Ho6AlRu at its relaxed geometry. The functional is PBE.

Output
DOS(E_F) = 1.135 states/eV per atom
crystal system = monoclinic
calculated volume = 28.994 A^3/atom
DFT formation energy = -0.01 eV/atom
SG = C2/m (12)
DFT total energy = -40.6 eV per cell

a = 6.6476 Å, b = 6.6476 Å, c = 6.5146 Å
α = 102.38°, β = 102.38°, γ = 117.70°
With the nearest neighbours (Å) after each atom.
Fractional positions:
1 Ho 0.0305 0.4156 0.2483  1 Ru 2.78, 1 Al 2.92
2 Ho 0.2331 0.2331 0.7646  1 Ru 2.64
3 Ho 0.4156 0.0305 0.2483  1 Ru 2.78, 1 Al 2.92
4 Ho 0.5844 0.9695 0.7517  1 Ru 2.78, 1 Al 2.92
5 Ho 0.7669 0.7669 0.2354  1 Ru 2.64
6 Ho 0.9695 0.5844 0.7517  1 Ru 2.78, 1 Al 2.92
7 Al 0.5000 0.5000 0.5000  6 Ho 2.92-2.99
8 Ru 0.0000 0.0000 0.0000  6 Ho 2.64-2.78


This record from the Alexandria database describes crystalline CoBiCl2 at its relaxed geometry. The functional is PBE.

Output
ΔE to the lowest computed polymorph = 451 meV per atom
ΔE_f (raw) = 4.07 kcal/mol of atoms
DOS(E_F) = 1.398 states/eV per atom
crystal system = tetragonal
calculated volume = 25.234 A^3/atom
SG = I-42d (122)
DFT total energy = -27.9 eV per cell

a = 6.6625 Å, b = 6.6625 Å, c = 6.6625 Å
α = 122.15°, β = 122.15°, γ = 86.32°
With the nearest neighbours (Å) after each atom.
Fractional positions:
1 Co 0.0000 0.0000 0.0000  4 Cl 2.16
2 Co 0.7500 0.2500 0.5000  4 Cl 2.16
3 Bi 0.2500 0.7500 0.5000  4 Cl 3.18
4 Bi 0.5000 0.5000 0.0000  4 Cl 3.18
5 Cl 0.3750 0.2445 0.3695  2 Co 2.16
6 Cl 0.7555 0.1250 0.1305  2 Co 2.16
7 Cl 0.8750 0.0055 0.6305  2 Co 2.16
8 Cl 0.9945 0.6250 0.8695  2 Co 2.16